Material: HoZr
Method: DFT, PBE
State: relaxed

POSCAR file:
```
HoZr
1.0
3.3951 0.0000 0.0000
-1.6975 2.9402 0.0000
0.0000 0.0000 5.3410
Ho Zr
1 1
direct
0.0000 0.0000 0.0000
0.3333 0.6667 0.5000
```

Crystal system ... hexagonal
Calculated density ... 7.98 g/cm³
Fermi-level density of states ... 3.6 states/eV/f.u.
SG ... P-6m2
Total moment ... 0.00 μB per formula unit
Calculated formation energy ... 0.087 eV/atom
Total energy ... -12.95 eV/cell